A plane-wave DFT calculation with PBE was carried out for an optimized crystal structure of Pm6MgCd3.

Lattice parameters (Å, degrees): 5.4700 9.4012 12.0597 109.43 90.00 90.00
Closest atoms and distances in Å follow each position.
Fractional positions:
Cd 0.7500 0.2303 0.0230  11 Pm 3.32-3.66, 1 Cd 3.65
Cd 0.7500 0.6218 0.2183  8 Pm 3.23-3.49, 2 Cd 3.55
Cd 0.2500 0.5435 0.3771  8 Pm 3.26-3.42, 2 Cd 3.55
Cd 0.2500 0.3782 0.7817  8 Pm 3.23-3.49, 2 Cd 3.55
Cd 0.2500 0.7697 0.9770  11 Pm 3.32-3.66, 1 Cd 3.65
Cd 0.7500 0.4565 0.6229  8 Pm 3.26-3.42, 2 Cd 3.55
Pm 0.7500 0.1560 0.7049  3 Mg 3.27-3.36, 3 Cd 3.29-3.38, 3 Pm 3.59-3.64
Pm 0.7500 0.3425 0.3226  5 Cd 3.26-3.42, 1 Mg 3.38, 3 Pm 3.55-3.63
Pm 0.2500 0.0844 0.8723  4 Cd 3.29-3.58, 1 Mg 3.30, 6 Pm 3.30-3.62
Pm 0.7500 0.9156 0.1277  4 Cd 3.29-3.58, 1 Mg 3.30, 6 Pm 3.30-3.62
Pm 0.2500 0.8440 0.2951  3 Mg 3.27-3.36, 3 Cd 3.29-3.38, 3 Pm 3.59-3.64
Pm 0.7500 0.5386 0.9138  7 Cd 3.27-3.56, 5 Pm 3.43-3.65
Pm 0.2500 0.6575 0.6774  5 Cd 3.26-3.42, 1 Mg 3.38, 3 Pm 3.55-3.63
Pm 0.7500 0.7383 0.5026  4 Cd 3.23-3.42, 3 Mg 3.34-3.37
Pm 0.2500 0.1374 0.1572  7 Pm 3.30-3.66, 3 Cd 3.42-3.44
Pm 0.7500 0.8626 0.8428  7 Pm 3.30-3.66, 3 Cd 3.42-3.44
Pm 0.2500 0.4614 0.0862  7 Cd 3.27-3.56, 5 Pm 3.43-3.65
Pm 0.2500 0.2617 0.4974  4 Cd 3.23-3.42, 3 Mg 3.34-3.37
Mg 0.2500 0.9579 0.5823  8 Pm 3.27-3.38, 2 Mg 3.62
Mg 0.7500 0.0421 0.4177  8 Pm 3.27-3.38, 2 Mg 3.62

Electronic total energy in Ry/atom: -0.254
Total magnetization in μB/atom: 0.000
SG: No. 11
Energy of formation in eV per atom: -0.178